1.
3
Lattice="0.000 3.102 3.102 3.102 0.000 3.102 3.102 3.102 0.000" Properties=species:S:1:pos:R:3 comment="HfZrFe PBE optimized geometry" ef_kcal_per_mol_atoms=21.8 vol_a3_per_cell=59.7 density_g_cm3=9.1 m_tot_mub_per_cell=0.6 spacegroup="No. 216" pbc="T T T"
Hf 0.000 0.000 0.000
Zr 1.551 1.551 1.551
Fe 4.653 4.653 4.653

---

2.
12
Lattice="1.896 -6.418 0.000 1.896 6.418 0.000 0.000 0.000 9.683" Properties=species:S:1:pos:R:3 comment="ScCuGeSe2S PBE optimized geometry" vol_a3_per_cell=235.7 density_g_cm3=5.2 energy_ry_per_atom=-0.3730 m_tot_mub_per_cell=0.0 spacegroup="No. 63" pbc="T T T"
Sc 0.000 0.000 0.000
Sc 0.000 0.000 4.842
Cu 1.896 0.281 7.263
Cu 1.896 -0.281 2.421
Ge 1.896 3.239 2.421
Ge 1.896 -3.239 7.263
Se 1.896 1.884 5.436
Se 1.896 1.884 9.089
Se 1.896 -1.884 0.595
Se 1.896 -1.884 4.247
S 1.896 5.358 7.263
S 1.896 -5.358 2.421

---

3.
12
Lattice="5.061 0.000 0.000 0.000 9.036 0.000 0.000 0.000 4.772" Properties=species:S:1:pos:R:3 comment="Zn2Hg PBE optimized geometry" ef_kcal_per_mol_atoms=2.7 vol_a3_per_cell=218.3 density_g_cm3=10.1 spacegroup="No. 59" pbc="T T T"
Zn 1.265 0.924 0.425
Zn 1.265 2.259 2.832
Zn 1.265 3.594 0.425
Zn 1.265 6.777 0.577
Zn 3.796 2.259 4.195
Zn 3.796 5.442 4.347
Zn 3.796 6.777 1.941
Zn 3.796 8.113 4.347
Hg 1.265 5.221 2.960
Hg 1.265 8.334 2.960
Hg 3.796 0.703 1.812
Hg 3.796 3.816 1.812

---

4.
8
Lattice="5.430 0.000 0.000 0.000 4.212 0.000 -0.034 0.000 7.049" Properties=species:S:1:pos:R:3 comment="Gd3ErNi4 PBE optimized geometry" ef_kcal_per_mol_atoms=-10.2 vol_a3_per_cell=161.2 density_g_cm3=9.0 m_tot_mub_per_cell=0.0 spacegroup="No. 6" pbc="T T T"
Gd 0.000 0.000 0.000
Gd 1.266 0.000 3.501
Gd 3.971 2.106 4.497
Er 2.714 2.106 0.970
Ni 1.296 2.106 5.523
Ni 2.652 0.000 6.065
Ni 3.995 0.000 2.487
Ni 5.383 2.106 1.967

---

5.
9
Lattice="6.971 0.000 0.000 0.000 6.971 0.000 0.000 0.000 6.971" Properties=species:S:1:pos:R:3 comment="KTe4PbAu3 PBE optimized geometry" vol_a3_per_cell=338.7 density_g_cm3=6.6 energy_ry_per_atom=-0.2214 spacegroup="No. 215" pbc="T T T"
K 0.000 0.000 0.000
Te 1.840 1.840 1.840
Te 1.840 5.130 5.130
Te 5.130 1.840 5.130
Te 5.130 5.130 1.840
Pb 3.485 3.485 3.485
Au 0.000 3.485 3.485
Au 3.485 0.000 3.485
Au 3.485 3.485 0.000

---

6.
3
Lattice="0.000 3.775 3.775 3.775 0.000 3.775 3.775 3.775 0.000" Properties=species:S:1:pos:R:3 comment="AcDySb PBE optimized geometry" vol_a3_per_cell=107.6 density_g_cm3=7.9 energy_ry_per_atom=-0.3490 m_tot_mub_per_cell=0.0 spacegroup="No. 216" pbc="T T T"
Ac 0.000 0.000 0.000
Dy 3.775 3.775 3.775
Sb 1.887 1.887 1.887